# 1
DFT (PBEsol) results for crystalline Cs2NaSbF6 at its relaxed geometry.

Cell: 6.3917 6.3917 6.3917 Å, 60.00 60.00 60.00°
Closest atoms and distances in Å follow each position.
Sites, in units of the cell vectors:
Sb 0.0000 0.0000 0.0000  6 F 2.20
F 0.2430 0.7570 0.7570  1 Sb 2.20, 1 Na 2.32
F 0.7570 0.2430 0.7570  1 Sb 2.20, 1 Na 2.32
F 0.2430 0.2430 0.7570  1 Sb 2.20, 1 Na 2.32
F 0.2430 0.7570 0.2430  1 Sb 2.20, 1 Na 2.32
F 0.7570 0.2430 0.2430  1 Sb 2.20, 1 Na 2.32
F 0.7570 0.7570 0.2430  1 Sb 2.20, 1 Na 2.32
Cs 0.2500 0.2500 0.2500  12 F 3.20
Cs 0.7500 0.7500 0.7500  12 F 3.20
Na 0.5000 0.5000 0.5000  6 F 2.32

Computed properties:
* uncorrected formation energy: -2655 meV/atom
* electronic total energy: -4.595 eV/atom

***

# 2
DFT (PBEsol) results for crystalline Cs2NaSmF6 at its relaxed geometry.

Cell: 6.4208 6.4208 6.4208 Å, 60.00 60.00 60.00°
Closest atoms and distances in Å follow each position.
Sites, in units of the cell vectors:
Na 0.5000 0.5000 0.5000  6 F 2.31
F 0.7548 0.2452 0.2452  1 Sm 2.23, 1 Na 2.31
F 0.2452 0.7548 0.2452  1 Sm 2.23, 1 Na 2.31
F 0.2452 0.2452 0.7548  1 Sm 2.23, 1 Na 2.31
F 0.7548 0.7548 0.2452  1 Sm 2.23, 1 Na 2.31
F 0.2452 0.7548 0.7548  1 Sm 2.23, 1 Na 2.31
F 0.7548 0.2452 0.7548  1 Sm 2.23, 1 Na 2.31
Cs 0.2500 0.2500 0.2500  12 F 3.21
Cs 0.7500 0.7500 0.7500  12 F 3.21
Sm 0.0000 0.0000 0.0000  6 F 2.23

Computed properties:
* uncorrected formation energy: -3314 meV/atom
* electronic total energy: -5.308 eV/atom